Entry 1:
Density functional theory data (GGA-PBE) for a geometry-optimized Mg2FeRe structure.

```
Mg2FeRe
1.0
4.592 -1.338 0.000
4.592 1.338 0.000
-0.553 0.000 5.102
Mg Fe Re
2 1 1
direct
0.000 0.000 0.000
0.239 0.239 0.740
0.746 0.746 0.276
0.489 0.489 0.480
```

Computed properties:
Space group = Cm (8)
DOS(E_F) = 2.64 states/eV per cell
Crystal system = monoclinic
DFT formation energy = 0.331 eV per atom



Entry 2:
Density functional theory data (GGA-PBE) for a geometry-optimized Tl5Hg12Pb3 structure.

```
Tl5Hg12Pb3
1.0
-8.949 8.949 8.949
8.949 -8.949 8.949
8.949 8.949 -8.949
Tl Hg Pb
20 48 12
direct
0.000 0.000 0.000
0.000 0.000 0.500
0.000 0.500 0.000
0.000 0.500 0.500
0.125 0.750 0.875
0.125 0.875 0.250
0.250 0.125 0.875
0.250 0.625 0.375
0.375 0.250 0.625
0.375 0.625 0.750
0.500 0.000 0.000
0.500 0.000 0.500
0.500 0.500 0.000
0.500 0.500 0.500
0.625 0.375 0.250
0.625 0.750 0.375
0.750 0.375 0.625
0.750 0.875 0.125
0.875 0.125 0.750
0.875 0.250 0.125
0.068 0.233 0.145
0.068 0.335 0.922
0.078 0.645 0.412
0.078 0.932 0.665
0.088 0.733 0.665
0.088 0.855 0.422
0.145 0.068 0.233
0.145 0.578 0.912
0.165 0.233 0.588
0.165 0.432 0.578
0.233 0.145 0.068
0.233 0.588 0.165
0.267 0.335 0.912
0.267 0.432 0.355
0.335 0.912 0.267
0.335 0.922 0.068
0.355 0.267 0.432
0.355 0.588 0.922
0.412 0.078 0.645
0.412 0.835 0.767
0.422 0.088 0.855
0.422 0.835 0.568
0.432 0.355 0.267
0.432 0.578 0.165
0.568 0.422 0.835
0.568 0.645 0.733
0.578 0.165 0.432
0.578 0.912 0.145
0.588 0.165 0.233
0.588 0.922 0.355
0.645 0.412 0.078
0.645 0.733 0.568
0.665 0.078 0.932
0.665 0.088 0.733
0.733 0.568 0.645
0.733 0.665 0.088
0.767 0.412 0.835
0.767 0.855 0.932
0.835 0.568 0.422
0.835 0.767 0.412
0.855 0.422 0.088
0.855 0.932 0.767
0.912 0.145 0.578
0.912 0.267 0.335
0.922 0.068 0.335
0.922 0.355 0.588
0.932 0.665 0.078
0.932 0.767 0.855
0.125 0.250 0.375
0.125 0.375 0.750
0.250 0.375 0.125
0.250 0.875 0.625
0.375 0.125 0.250
0.375 0.750 0.125
0.625 0.250 0.875
0.625 0.875 0.750
0.750 0.125 0.375
0.750 0.625 0.875
0.875 0.625 0.250
0.875 0.750 0.625
```

Computed properties:
Space group = Ia-3d (230)
DOS(E_F) = 31.04 states/eV per cell
Crystal system = cubic
DFT formation energy = 0.143 eV per atom



Entry 3:
Density functional theory data (GGA-PBE) for a geometry-optimized La4TePbN structure.

```
La4TePbN
1.0
3.389 -9.010 0.000
3.389 9.010 0.000
0.000 0.000 6.878
La Te Pb N
8 2 2 2
direct
0.000 0.500 0.000
0.000 0.500 0.500
0.073 0.927 0.750
0.418 0.582 0.750
0.500 0.000 0.000
0.500 0.000 0.500
0.582 0.418 0.250
0.927 0.073 0.250
0.111 0.889 0.250
0.889 0.111 0.750
0.393 0.607 0.250
0.607 0.393 0.750
0.287 0.713 0.750
0.713 0.287 0.250
```

Computed properties:
Space group = Cmcm (63)
Formation energy (no corrections) = -1.02 eV per atom
DOS(E_F) = 13.65 states/eV per cell
Crystal system = orthorhombic



Entry 4:
Density functional theory data (GGA-PBE) for a geometry-optimized Y5Si2Sb2 structure.

```
Y5Si2Sb2
1.0
7.580 -3.926 0.000
7.580 3.926 0.000
0.000 0.000 7.874
Y Si Sb
10 4 4
direct
0.000 0.000 0.000
0.041 0.706 0.667
0.206 0.541 0.167
0.294 0.959 0.667
0.459 0.794 0.167
0.500 0.500 0.500
0.541 0.206 0.833
0.706 0.041 0.333
0.794 0.459 0.833
0.959 0.294 0.333
0.130 0.870 0.371
0.370 0.630 0.871
0.630 0.370 0.129
0.870 0.130 0.629
0.206 0.206 0.000
0.294 0.294 0.500
0.706 0.706 0.500
0.794 0.794 0.000
```

Computed properties:
Space group = Cmce (64)
Formation energy (no corrections) = -0.95 eV per atom
DOS(E_F) = 11.80 states/eV per cell
Crystal system = orthorhombic



Entry 5:
Density functional theory data (GGA-PBE) for a geometry-optimized La2HfNiPt structure.

```
La2HfNiPt
1.0
5.146 0.000 0.000
0.000 5.146 0.000
0.000 0.000 4.855
La Hf Ni Pt
2 1 1 1
direct
0.000 0.500 0.000
0.500 0.000 0.000
0.000 0.000 0.500
0.500 0.500 0.000
0.500 0.500 0.500
```

Computed properties:
Space group = P4/mmm (123)
DOS(E_F) = 7.78 states/eV per cell
Crystal system = tetragonal
DFT formation energy = 0.176 eV per atom



Entry 6:
Density functional theory data (GGA-PBE) for a geometry-optimized MnCrCu structure.

```
MnCrCu
1.0
0.000 2.832 2.832
2.832 0.000 2.832
2.832 2.832 0.000
Mn Cr Cu
1 1 1
direct
0.000 0.000 0.000
0.750 0.750 0.750
0.250 0.250 0.250
```

Computed properties:
Space group = F-43m (216)
DOS(E_F) = 1.41 states/eV per cell
Crystal system = cubic
DFT formation energy = 0.617 eV per atom